BaCoSn (PBE, optimized geometry); magnetization = 1.43 μB/f.u.; DFT total energy = -3.34 eV/atom; crystal system = cubic
1.0
2.5237 -4.6000 -1.1296
-2.0869 -3.3925 -3.5973
2.3793 -0.6552 -4.7660
Ba Co Sn
1 1 1
direct
0.0000 0.0000 0.0000
0.2500 0.2500 0.2500
0.7500 0.7500 0.7500


TbAlIr (PBE, optimized geometry); magnetization = 0.00 μB/f.u.; DFT total energy = -6.48 eV/atom; crystal system = orthorhombic
1.0
-2.5517 -1.7691 3.1704
0.2685 -3.7443 -1.8733
10.6770 -2.7626 7.0520
Tb Ir Al
4 4 4
direct
0.7503 0.7500 0.8457
0.2497 0.2500 0.1543
0.2503 0.7500 0.6543
0.7497 0.2500 0.3457
0.2502 0.7500 0.9993
0.2498 0.2500 0.4993
0.7498 0.2500 0.0007
0.7502 0.7500 0.5007
0.7499 0.7500 0.1082
0.7501 0.2500 0.6082
0.2499 0.7500 0.3918
0.2501 0.2500 0.8918


ZrScIn2Ni4 (PBE, optimized geometry); magnetization = 0.00 μB/f.u.; DFT total energy = -5.73 eV/atom; crystal system = hexagonal
1.0
4.3296 0.0000 0.0000
-2.1648 3.7496 0.0000
0.0000 0.0000 7.9496
Sc Ni In Zr
1 4 2 1
direct
0.0000 0.0000 0.0000
0.0000 0.0000 0.3429
0.0000 0.0000 0.6571
0.3333 0.6667 0.8398
0.3333 0.6667 0.1602
0.6667 0.3333 0.7543
0.6667 0.3333 0.2457
0.3333 0.6667 0.5000


KAgP2O6 (PBE, optimized geometry); DFT total energy = -6.35 eV/atom; crystal system = monoclinic
1.0
-4.3543 2.7948 -5.3637
-9.6653 -8.0094 3.6729
-1.7182 3.9486 4.0893
O P K Ag
24 8 4 4
direct
0.3277 0.6253 0.7345
0.6450 0.6706 0.6719
0.4384 0.3562 0.9162
0.4547 0.7963 0.8716
0.8550 0.1706 0.3281
0.5616 0.6438 0.0838
0.6723 0.3747 0.2655
0.4136 0.8465 0.4557
0.0864 0.3465 0.5443
0.8615 0.5240 0.7804
0.8277 0.8747 0.7345
0.1450 0.8294 0.6719
0.3550 0.3294 0.3281
0.0453 0.2963 0.1285
0.5453 0.2037 0.1284
0.1723 0.1253 0.2655
0.9384 0.1438 0.9162
0.9547 0.7037 0.8715
0.5864 0.1535 0.5443
0.9136 0.6535 0.4557
0.0616 0.8562 0.0838
0.3615 0.9760 0.7804
0.6385 0.0240 0.2196
0.1385 0.4760 0.2196
0.6494 0.1301 0.3161
0.0080 0.1737 0.1501
0.4920 0.6737 0.8499
0.9920 0.8263 0.8499
0.8506 0.6301 0.6839
0.1494 0.3699 0.3161
0.5080 0.3263 0.1501
0.3506 0.8699 0.6839
0.2655 0.1717 0.7076
0.7655 0.3283 0.7076
0.2345 0.6717 0.2924
0.7345 0.8283 0.2924
0.3056 0.9728 0.1888
0.1944 0.4728 0.8112
0.8056 0.5272 0.1888
0.6944 0.0272 0.8112